(1)
Computed, not measured: SmEr2Co after structural relaxation at the PBE level of DFT.

Values from the calculation:
DFT formation energy   -0.0276 eV/atom
Distance to the lowest polymorph of the same formula   130 meV/atom

Cell lengths 3.760, 3.760, 9.181 Å; angles 78.18, 78.18, 60.00 degrees
Atoms (fractional coordinates):
1 Sm 0.502 0.502 0.495
2 Er 0.277 0.277 0.168
3 Co 0.666 0.666 0.001
4 Er 0.055 0.055 0.835

(2)
Computed, not measured: ZrBrNF2 after structural relaxation at the PBE level of DFT.

Values from the calculation:
Distance to the lowest polymorph of the same formula   0 meV/atom
Formation energy without anion corrections   -1560 meV/atom

Cell lengths 4.184, 4.184, 4.441 Å; angles 90.00, 90.00, 90.00 degrees
Atoms (fractional coordinates):
1 F 0.500 0.000 0.000
2 F 0.000 0.500 0.000
3 Zr 0.000 0.000 0.000
4 N 0.000 0.000 0.500
5 Br 0.500 0.500 0.500

What did the first record say?
Computed, not measured: SmEr2Co after structural relaxation at the PBE level of DFT.

Values from the calculation:
DFT formation energy   -0.0276 eV/atom
Distance to the lowest polymorph of the same formula   130 meV/atom

Cell lengths 3.760, 3.760, 9.181 Å; angles 78.18, 78.18, 60.00 degrees
Atoms (fractional coordinates):
1 Sm 0.502 0.502 0.495
2 Er 0.277 0.277 0.168
3 Co 0.666 0.666 0.001
4 Er 0.055 0.055 0.835

Look up the distance to the lowest polymorph of the same formula of the first one. 130 meV/atom